A plane-wave DFT calculation with GGA-PBE was carried out for an optimized crystal structure of ZnCd8Ag5.

Structure (extended XYZ):
```
14
Lattice="7.292 -0.250 0.430 -2.702 6.777 -0.430 -1.887 -3.550 6.103" Properties=species:S:1:pos:R:3 pbc="T T T"
Zn -0.943 0.663 4.470
Cd -0.991 4.629 0.175
Cd 5.330 -2.009 4.367
Cd 4.021 0.384 2.251
Cd 2.024 -0.743 5.754
Cd 1.703 2.999 1.588
Cd 0.102 3.066 5.036
Cd 0.964 0.267 2.628
Cd -2.343 3.313 2.613
Ag -0.780 1.699 0.687
Ag 3.501 5.307 1.137
Ag 2.708 1.822 4.481
Ag 2.702 -1.900 3.267
Ag -0.024 -2.875 5.902
```

## Properties
E_form (eV/f.u.): 0.69
SG: I-4 (82)

A plane-wave DFT calculation with GGA-PBE was carried out for an optimized crystal structure of La6ThMg2.

Structure (extended XYZ):
```
9
Lattice="-5.082 3.591 0.407 1.614 -2.510 -5.471 -4.959 -7.227 1.852" Properties=species:S:1:pos:R:3 pbc="T T T"
La -3.152 1.325 -3.270
La -4.800 -3.965 0.463
La -5.549 0.092 0.045
La -0.316 -0.243 -1.795
La -5.257 -4.556 -3.067
La -1.247 -3.862 -3.866
Th -2.541 1.796 0.203
Mg -2.518 -6.100 -1.494
Mg -3.368 -1.841 -1.922
```

## Properties
E_form (eV/f.u.): 0.49
SG: C222 (21)

A plane-wave DFT calculation with GGA-PBE was carried out for an optimized crystal structure of Pr2YAg6.

Structure (extended XYZ):
```
9
Lattice="3.556 0.000 0.001 0.001 7.220 4.152 -0.001 0.014 8.329" Properties=species:S:1:pos:R:3 pbc="T T T"
Pr 0.000 2.411 4.160
Pr 3.557 4.823 8.321
Y 0.000 0.000 0.000
Ag 1.778 4.831 2.778
Ag 1.780 7.225 6.908
Ag 1.779 2.403 9.703
Ag 1.779 4.836 5.534
Ag 1.777 0.009 5.573
Ag 1.778 2.399 6.947
```

## Properties
E_form (eV/f.u.): -2.28
SG: P6/mmm (191)

A plane-wave DFT calculation with GGA-PBE was carried out for an optimized crystal structure of U3SbTe8.

Structure (extended XYZ):
```
24
Lattice="8.781 0.000 0.000 -4.391 7.605 0.000 0.000 0.000 13.994" Properties=species:S:1:pos:R:3 pbc="T T T"
U 4.391 5.082 10.013
U 2.185 1.262 10.013
U 6.596 1.262 10.013
U -2.205 6.343 3.016
U 2.205 6.343 3.016
U 0.000 2.523 3.016
Sb 4.391 2.535 13.309
Sb 0.000 5.070 6.312
Te 4.391 5.108 1.413
Te 2.218 3.789 11.772
Te 4.391 2.535 8.319
Te 0.000 0.000 11.736
Te 0.000 0.000 4.739
Te 2.162 1.248 1.413
Te 6.563 3.789 11.772
Te 4.391 0.026 11.772
Te -2.228 6.357 8.410
Te 6.619 1.248 1.413
Te 0.000 7.578 4.775
Te -2.172 3.816 4.775
Te 0.000 5.070 1.322
Te 2.228 6.357 8.410
Te 2.172 3.816 4.775
Te 0.000 2.497 8.410
```

## Properties
SG: P6_3mc (186)
ΔE_f (raw) (eV/atom): -0.439

A plane-wave DFT calculation with GGA-PBE was carried out for an optimized crystal structure of KYRe2.

Structure (extended XYZ):
```
4
Lattice="4.842 0.000 0.000 2.421 4.193 0.000 2.421 1.398 3.953" Properties=species:S:1:pos:R:3 pbc="T T T"
K 4.842 2.795 1.977
Re 0.000 0.000 0.000
Re 2.421 1.398 0.988
Y 7.262 4.193 2.965
```

## Properties
E_form (eV/f.u.): 5.01
Energy relative to the lowest polymorph listed for this composition (eV per atom): 0.731
SG: F-43m (216)

A plane-wave DFT calculation with GGA-PBE was carried out for an optimized crystal structure of LaHf2MnW.

Structure (extended XYZ):
```
5
Lattice="5.094 0.000 0.000 0.000 4.227 0.000 0.000 0.000 5.094" Properties=species:S:1:pos:R:3 pbc="T T T"
Mn 0.000 2.113 0.000
Hf 0.000 0.000 2.547
Hf 2.547 0.000 0.000
W 2.547 2.113 2.547
La 0.000 0.000 0.000
```

## Properties
E_form (eV/f.u.): 9.71
SG: P4/mmm (123)

Number 1: DOS at the Fermi energy 0.3301 states/eV per atom. Number 2: DOS at the Fermi energy 1.5764 states/eV per atom. Number 3: DOS at the Fermi energy 0.7888 states/eV per atom. Number 4: DOS at the Fermi energy 1.5433 states/eV per atom. Number 5: DOS at the Fermi energy 1.2660 states/eV per atom. Number 6: DOS at the Fermi energy 0.9925 states/eV per atom.